[1]
Here is a relaxed LiMnO2 crystal from Alexandria. Energies are from GGA-PBEsol.

Output
- space group = C2/c (15)
- final energy (eV for the cell shown) = -116.63
- calculated volume (Å³ per atom) = 9.401
- total magnetization (μB per cell) = 15.9

Lattice parameters (Å, degrees): 5.618 5.618 6.002 64.07 64.07 87.87
Fractional positions:
Li (0.000, 0.500, 0.000)
Li (0.500, 0.000, 0.500)
Li (0.951, 0.049, 0.250)
Li (0.049, 0.951, 0.750)
Mn (0.500, 0.000, 0.000)
Mn (0.000, 0.500, 0.500)
Mn (0.500, 0.500, 0.000)
Mn (0.500, 0.500, 0.500)
O (0.730, 0.714, 0.526)
O (0.286, 0.270, 0.974)
O (0.714, 0.730, 0.026)
O (0.270, 0.286, 0.474)
O (0.726, 0.229, 0.022)
O (0.229, 0.726, 0.522)
O (0.771, 0.274, 0.478)
O (0.274, 0.771, 0.978)

=====

[2]
Here is a relaxed Li2MnO2 crystal from Alexandria. Energies are from GGA-PBEsol.

Output
- space group = P-3m1 (164)
- calculated volume (Å³ per atom) = 9.076
- relative energy among the computed polymorphs (eV/atom) = 0.126
- total magnetization (μB per cell) = 5.0

Lattice parameters (Å, degrees): 3.166 3.166 5.229 90.00 90.00 120.00
Fractional positions:
Mn (0.000, 0.000, 0.000)
O (0.667, 0.333, 0.755)
O (0.333, 0.667, 0.245)
Li (0.333, 0.667, 0.633)
Li (0.667, 0.333, 0.367)

=====

[3]
Here is a relaxed Li3Mn8O16 crystal from Alexandria. Energies are from GGA-PBEsol.

Output
- space group = Pmmn (59)
- final energy (eV for the cell shown) = -433.38
- calculated volume (Å³ per atom) = 9.636
- total magnetization (μB per cell) = 42.0

Lattice parameters (Å, degrees): 5.687 8.042 11.378 90.00 90.00 90.00
Fractional positions:
Li (0.500, 0.121, 0.000)
Li (0.000, 0.627, 0.753)
Li (0.000, 0.627, 0.247)
Li (0.500, 0.373, 0.747)
Li (0.000, 0.879, 0.500)
Li (0.500, 0.373, 0.253)
Mn (0.000, 0.247, 0.875)
Mn (0.750, 0.500, 0.000)
Mn (0.750, 0.000, 0.750)
Mn (0.500, 0.753, 0.625)
Mn (0.500, 0.749, 0.877)
Mn (0.250, 0.500, 0.500)
Mn (0.250, 0.000, 0.750)
Mn (0.000, 0.251, 0.623)
Mn (0.000, 0.251, 0.377)
Mn (0.750, 0.500, 0.500)
Mn (0.750, 0.000, 0.250)
Mn (0.500, 0.749, 0.123)
Mn (0.500, 0.753, 0.375)
Mn (0.250, 0.000, 0.250)
Mn (0.250, 0.500, 0.000)
Mn (0.000, 0.247, 0.125)
O (0.224, 0.261, 0.000)
O (0.000, 0.486, 0.888)
O (0.776, 0.261, 0.000)
O (0.724, 0.763, 0.750)
O (0.500, 0.986, 0.862)
O (0.500, 0.986, 0.640)
O (0.500, 0.511, 0.887)
O (0.276, 0.763, 0.750)
O (0.222, 0.266, 0.500)
O (0.224, 0.237, 0.750)
O (0.000, 0.489, 0.387)
O (0.000, 0.014, 0.860)
O (0.000, 0.489, 0.613)
O (0.000, 0.014, 0.638)
O (0.776, 0.237, 0.750)
O (0.778, 0.266, 0.500)
O (0.724, 0.763, 0.250)
O (0.724, 0.739, 0.500)
O (0.500, 0.514, 0.612)
O (0.500, 0.986, 0.360)
O (0.500, 0.986, 0.138)
O (0.500, 0.514, 0.388)
O (0.276, 0.739, 0.500)
O (0.276, 0.763, 0.250)
O (0.224, 0.237, 0.250)
O (0.000, 0.486, 0.112)
O (0.000, 0.014, 0.362)
O (0.000, 0.014, 0.140)
O (0.776, 0.237, 0.250)
O (0.722, 0.734, 0.000)
O (0.500, 0.511, 0.113)
O (0.278, 0.734, 0.000)

=====

[4]
Here is a relaxed LiMnO2 crystal from Alexandria. Energies are from GGA-PBEsol.

Output
- space group = I4_1/amd (141)
- final energy (eV for the cell shown) = -59.11
- calculated volume (Å³ per atom) = 8.658
- total magnetization (μB per cell) = 7.8

Lattice parameters (Å, degrees): 4.068 4.068 5.079 113.61 113.61 90.00
Fractional positions:
Mn (0.000, 0.000, 0.000)
Mn (0.250, 0.750, 0.500)
O (0.483, 0.983, 0.966)
O (0.017, 0.517, 0.034)
O (0.767, 0.767, 0.534)
O (0.233, 0.233, 0.466)
Li (0.500, 0.500, 0.000)
Li (0.750, 0.250, 0.500)

=====

[5]
Here is a relaxed LiMn4O8 crystal from Alexandria. Energies are from GGA-PBEsol.

Output
- space group = R-3m (166)
- calculated volume (Å³ per atom) = 10.001
- relative energy among the computed polymorphs (eV/atom) = 0.046
- total magnetization (μB per cell) = 5.0

Lattice parameters (Å, degrees): 5.675 5.697 5.698 120.00 120.13 90.00
Fractional positions:
Li (0.000, 0.000, 0.000)
Mn (0.500, 0.500, 0.000)
Mn (0.000, 0.500, 0.500)
Mn (0.000, 0.000, 0.500)
Mn (0.000, 0.500, 0.000)
O (0.231, 0.260, 0.971)
O (0.792, 0.264, 0.528)
O (0.231, 0.260, 0.519)
O (0.231, 0.712, 0.971)
O (0.208, 0.736, 0.472)
O (0.769, 0.740, 0.029)
O (0.769, 0.288, 0.029)
O (0.769, 0.740, 0.481)

=====

[6]
Here is a relaxed LiMn7O12 crystal from Alexandria. Energies are from GGA-PBEsol.

Output
- space group = Im-3 (204)
- calculated volume (Å³ per atom) = 9.488
- relative energy among the computed polymorphs (eV/atom) = 0.000
- total magnetization (μB per cell) = 25.7

Lattice parameters (Å, degrees): 6.270 6.270 6.270 109.47 109.47 109.47
Fractional positions:
Li (0.000, 0.000, 0.000)
Mn (0.500, 0.500, 0.500)
Mn (0.500, 0.000, 0.500)
Mn (0.500, 0.500, 0.000)
Mn (0.000, 0.500, 0.000)
Mn (0.000, 0.000, 0.500)
Mn (0.500, 0.000, 0.000)
Mn (0.000, 0.500, 0.500)
O (0.818, 0.690, 0.508)
O (0.872, 0.182, 0.690)
O (0.492, 0.182, 0.310)
O (0.310, 0.128, 0.818)
O (0.690, 0.508, 0.818)
O (0.818, 0.310, 0.128)
O (0.182, 0.690, 0.872)
O (0.310, 0.492, 0.182)
O (0.690, 0.872, 0.182)
O (0.128, 0.818, 0.310)
O (0.508, 0.818, 0.690)
O (0.182, 0.310, 0.492)

=====

[7]
Here is a relaxed Li7Mn5O12 crystal from Alexandria. Energies are from GGA-PBEsol.

Output
- space group = P2/m (10)
- calculated volume (Å³ per atom) = 8.618
- relative energy among the computed polymorphs (eV/atom) = 0.055
- total magnetization (μB per cell) = 17.9

Lattice parameters (Å, degrees): 2.813 5.119 14.382 93.00 90.00 90.00
Fractional positions:
Li (0.500, 0.000, 0.000)
Li (0.000, 0.500, 0.500)
Li (0.500, 0.000, 0.500)
Li (0.500, 0.651, 0.341)
Li (0.500, 0.349, 0.659)
Li (0.000, 0.811, 0.170)
Li (0.000, 0.189, 0.830)
Mn (0.000, 0.500, 0.000)
Mn (0.000, 0.126, 0.343)
Mn (0.000, 0.874, 0.657)
Mn (0.500, 0.301, 0.171)
Mn (0.500, 0.699, 0.829)
O (0.500, 0.303, 0.409)
O (0.500, 0.697, 0.591)
O (0.000, 0.437, 0.250)
O (0.000, 0.563, 0.750)
O (0.500, 0.648, 0.077)
O (0.500, 0.352, 0.923)
O (0.000, 0.844, 0.906)
O (0.000, 0.156, 0.094)
O (0.000, 0.152, 0.589)
O (0.000, 0.848, 0.411)
O (0.500, 0.020, 0.737)
O (0.500, 0.980, 0.263)

=====

[8]
Here is a relaxed Li7Mn5O12 crystal from Alexandria. Energies are from GGA-PBEsol.

Output
- space group = C2 (5)
- calculated volume (Å³ per atom) = 8.391
- relative energy among the computed polymorphs (eV/atom) = 0.019
- total magnetization (μB per cell) = 12.0

Lattice parameters (Å, degrees): 4.989 4.989 9.445 95.12 95.12 119.49
Fractional positions:
Mn (0.074, 0.926, 0.000)
Mn (0.505, 0.992, 0.263)
Mn (0.008, 0.495, 0.737)
Mn (0.415, 0.585, 0.000)
Mn (0.579, 0.421, 0.500)
O (0.248, 0.059, 0.379)
O (0.941, 0.752, 0.621)
O (0.345, 0.845, 0.873)
O (0.155, 0.655, 0.127)
O (0.548, 0.691, 0.382)
O (0.309, 0.452, 0.618)
O (0.720, 0.576, 0.890)
O (0.424, 0.280, 0.110)
O (0.836, 0.352, 0.373)
O (0.648, 0.164, 0.627)
O (0.062, 0.241, 0.877)
O (0.759, 0.938, 0.123)
Li (0.256, 0.744, 0.500)
Li (0.661, 0.833, 0.739)
Li (0.840, 0.668, 0.261)
Li (0.167, 0.339, 0.261)
Li (0.332, 0.160, 0.739)
Li (0.744, 0.256, 0.000)
Li (0.925, 0.075, 0.500)

=====

[9]
Here is a relaxed LiMn2O3 crystal from Alexandria. Energies are from GGA-PBEsol.

Output
- space group = C2/c (15)
- final energy (eV for the cell shown) = -187.13
- calculated volume (Å³ per atom) = 9.211
- total magnetization (μB per cell) = 31.9

Lattice parameters (Å, degrees): 5.033 5.033 9.777 93.05 93.04 116.22
Fractional positions:
Li (0.581, 0.419, 0.250)
Li (0.419, 0.581, 0.750)
Li (0.251, 0.749, 0.250)
Li (0.749, 0.251, 0.750)
Mn (0.000, 0.500, 0.500)
Mn (0.500, 0.000, 0.000)
Mn (0.917, 0.083, 0.250)
Mn (0.083, 0.917, 0.750)
Mn (0.832, 0.662, 0.001)
Mn (0.662, 0.832, 0.501)
Mn (0.338, 0.168, 0.499)
Mn (0.168, 0.338, 0.999)
O (0.937, 0.773, 0.379)
O (0.773, 0.937, 0.879)
O (0.227, 0.063, 0.121)
O (0.063, 0.227, 0.621)
O (0.897, 0.396, 0.122)
O (0.396, 0.897, 0.622)
O (0.605, 0.103, 0.378)
O (0.103, 0.604, 0.878)
O (0.576, 0.741, 0.126)
O (0.741, 0.576, 0.626)
O (0.259, 0.424, 0.374)
O (0.424, 0.259, 0.874)

=====

[10]
Here is a relaxed LiMnO2 crystal from Alexandria. Energies are from GGA-PBEsol.

Output
- space group = R-3m (166)
- final energy (eV for the cell shown) = -29.52
- calculated volume (Å³ per atom) = 8.069
- total magnetization (μB per cell) = 2.0

Lattice parameters (Å, degrees): 2.798 2.798 5.028 73.84 73.84 60.00
Fractional positions:
Mn (0.000, 0.000, 0.000)
O (0.257, 0.257, 0.228)
O (0.743, 0.743, 0.772)
Li (0.500, 0.500, 0.500)

=====

[11]
Here is a relaxed Li5Mn3O8 crystal from Alexandria. Energies are from GGA-PBEsol.

Output
- space group = R-3m (166)
- calculated volume (Å³ per atom) = 8.047
- relative energy among the computed polymorphs (eV/atom) = 0.013
- total magnetization (μB per cell) = 16.0

Lattice parameters (Å, degrees): 5.621 5.621 9.954 73.59 73.59 60.00
Fractional positions:
Li (0.250, 0.750, 0.250)
Li (0.750, 0.250, 0.750)
Li (0.500, 0.000, 0.500)
Li (0.000, 0.500, 0.000)
Li (0.750, 0.750, 0.250)
Li (0.250, 0.250, 0.750)
Li (0.750, 0.250, 0.250)
Li (0.250, 0.750, 0.750)
Li (0.250, 0.250, 0.250)
Li (0.750, 0.750, 0.750)
Mn (0.500, 0.000, 0.000)
Mn (0.500, 0.500, 0.500)
Mn (0.000, 0.000, 0.000)
Mn (0.000, 0.000, 0.500)
Mn (0.500, 0.500, 0.000)
Mn (0.000, 0.500, 0.500)
O (0.871, 0.371, 0.388)
O (0.371, 0.871, 0.888)
O (0.629, 0.129, 0.112)
O (0.129, 0.629, 0.612)
O (0.363, 0.387, 0.387)
O (0.863, 0.887, 0.887)
O (0.363, 0.863, 0.387)
O (0.863, 0.363, 0.887)
O (0.887, 0.863, 0.387)
O (0.387, 0.363, 0.887)
O (0.137, 0.113, 0.113)
O (0.637, 0.613, 0.613)
O (0.137, 0.637, 0.113)
O (0.637, 0.137, 0.613)
O (0.613, 0.637, 0.113)
O (0.113, 0.137, 0.613)

=====

[12]
Here is a relaxed LiMn4O8 crystal from Alexandria. Energies are from GGA-PBEsol.

Output
- space group = C2 (5)
- calculated volume (Å³ per atom) = 9.803
- relative energy among the computed polymorphs (eV/atom) = 0.046
- total magnetization (μB per cell) = 11.0

Lattice parameters (Å, degrees): 2.858 6.734 6.928 85.72 78.10 77.75
Fractional positions:
Li (0.035, 0.000, 0.000)
Mn (0.863, 0.518, 0.821)
Mn (0.387, 0.819, 0.472)
Mn (0.678, 0.181, 0.528)
Mn (0.202, 0.482, 0.179)
O (0.228, 0.661, 0.948)
O (0.883, 0.694, 0.604)
O (0.878, 0.968, 0.341)
O (0.486, 0.365, 0.727)
O (0.579, 0.635, 0.273)
O (0.187, 0.032, 0.659)
O (0.181, 0.306, 0.396)
O (0.837, 0.339, 0.052)

=====

[13]
Here is a relaxed Li2MnO2 crystal from Alexandria. Energies are from GGA-PBEsol.

Output
- space group = Immm (71)
- calculated volume (Å³ per atom) = 9.578
- relative energy among the computed polymorphs (eV/atom) = 0.000
- total magnetization (μB per cell) = 3.0

Lattice parameters (Å, degrees): 2.795 3.824 5.068 112.17 106.01 90.00
Fractional positions:
Mn (0.500, 0.500, 0.000)
O (0.855, 0.355, 0.710)
O (0.145, 0.645, 0.290)
Li (0.806, 0.806, 0.612)
Li (0.194, 0.194, 0.388)

=====

[14]
Here is a relaxed Li8Mn5O10 crystal from Alexandria. Energies are from GGA-PBEsol.

Output
- space group = P1 (1)
- final energy (eV for the cell shown) = -154.35
- calculated volume (Å³ per atom) = 9.670
- total magnetization (μB per cell) = 23.1

Lattice parameters (Å, degrees): 5.125 5.385 8.333 103.78 93.37 93.03
Fractional positions:
Mn (0.020, 0.978, 0.998)
Mn (0.071, 0.577, 0.190)
Mn (0.933, 0.840, 0.628)
Mn (0.985, 0.410, 0.797)
Mn (0.014, 0.171, 0.387)
O (0.799, 0.674, 0.013)
O (0.239, 0.285, 0.994)
O (0.233, 0.925, 0.185)
O (0.768, 0.268, 0.224)
O (0.770, 0.899, 0.411)
O (0.253, 0.451, 0.373)
O (0.708, 0.506, 0.625)
O (0.195, 0.163, 0.599)
O (0.212, 0.747, 0.785)
O (0.758, 0.070, 0.837)
Li (0.636, 0.345, 0.012)
Li (0.611, 0.877, 0.192)
Li (0.397, 0.234, 0.199)
Li (0.633, 0.551, 0.398)
Li (0.334, 0.518, 0.600)
Li (0.549, 0.150, 0.525)
Li (0.577, 0.724, 0.838)
Li (0.376, 0.081, 0.789)

=====

[15]
Here is a relaxed Li4Mn3O8 crystal from Alexandria. Energies are from GGA-PBEsol.

Output
- space group = R-3m (166)
- final energy (eV for the cell shown) = -107.58
- calculated volume (Å³ per atom) = 9.121
- total magnetization (μB per cell) = 9.0

Lattice parameters (Å, degrees): 5.621 5.621 5.961 61.87 61.87 60.00
Fractional positions:
Li (0.000, 0.000, 0.000)
Li (0.642, 0.642, 0.075)
Li (0.500, 0.500, 0.500)
Li (0.358, 0.358, 0.925)
Mn (0.500, 0.000, 0.500)
Mn (0.000, 0.000, 0.500)
Mn (0.000, 0.500, 0.500)
O (0.767, 0.767, 0.700)
O (0.781, 0.256, 0.708)
O (0.256, 0.256, 0.708)
O (0.256, 0.781, 0.708)
O (0.233, 0.233, 0.300)
O (0.219, 0.744, 0.292)
O (0.744, 0.744, 0.292)
O (0.744, 0.219, 0.292)

=====

[16]
Here is a relaxed Li6MnO6 crystal from Alexandria. Energies are from GGA-PBEsol.

Output
- space group = R-3 (148)
- final energy (eV for the cell shown) = -75.23
- calculated volume (Å³ per atom) = 8.852
- total magnetization (μB per cell) = 1.0

Lattice parameters (Å, degrees): 5.335 5.335 5.335 63.24 63.24 63.24
Fractional positions:
Mn (0.000, 0.000, 0.000)
O (0.096, 0.800, 0.346)
O (0.200, 0.654, 0.904)
O (0.654, 0.904, 0.200)
O (0.346, 0.096, 0.800)
O (0.800, 0.346, 0.096)
O (0.904, 0.200, 0.654)
Li (0.284, 0.923, 0.504)
Li (0.077, 0.496, 0.716)
Li (0.496, 0.716, 0.077)
Li (0.504, 0.284, 0.923)
Li (0.923, 0.504, 0.284)
Li (0.716, 0.077, 0.496)